(1)
Material: Ca3Pm3DyS8
Method: DFT, PBE-GGA
State: relaxed

Properties
ΔE_f (raw)	-2.085	eV per atom
DOS at the Fermi energy	4.41	states/eV/cell
space-group type	R-3m (166)
final energy	-5.943	eV/atom

Structure (CIF):
```
data_Ca3Pm3DyS8
_chemical_formula_sum 'Ca3 Pm3 Dy1 S8'
_cell_length_a 8.071
_cell_length_b 8.071
_cell_length_c 8.071
_cell_angle_alpha 59.68
_cell_angle_beta 59.68
_cell_angle_gamma 59.68
_symmetry_space_group_name_H-M 'P 1'
_symmetry_Int_Tables_number 1
loop_
_symmetry_equiv_pos_as_xyz
'x,y,z'
loop_
_atom_site_label
_atom_site_type_symbol
_atom_site_fract_x
_atom_site_fract_y
_atom_site_fract_z
_atom_site_occupancy
Ca1 Ca 0.000 0.500 0.500 1
Ca2 Ca 0.500 0.000 0.500 1
Ca3 Ca 0.500 0.500 0.000 1
Pm1 Pm 0.000 0.000 0.500 1
Pm2 Pm 0.000 0.500 0.000 1
Pm3 Pm 0.500 0.000 0.000 1
Dy1 Dy 0.500 0.500 0.500 1
S1 S 0.251 0.251 0.251 1
S2 S 0.257 0.742 0.742 1
S3 S 0.258 0.258 0.743 1
S4 S 0.258 0.743 0.258 1
S5 S 0.742 0.257 0.742 1
S6 S 0.742 0.742 0.257 1
S7 S 0.743 0.258 0.258 1
S8 S 0.749 0.749 0.749 1
```


(2)
Material: ZrTaCuMo
Method: DFT, PBE-GGA
State: relaxed

Properties
DFT formation energy	0.04	eV per formula unit
DOS at the Fermi energy	3.90	states/eV/cell
space-group type	F-43m (216)
final energy	-8.823	eV/atom

Structure (CIF):
```
data_ZrTaCuMo
_chemical_formula_sum 'Zr1 Ta1 Cu1 Mo1'
_cell_length_a 4.597
_cell_length_b 4.597
_cell_length_c 4.597
_cell_angle_alpha 60.00
_cell_angle_beta 60.00
_cell_angle_gamma 60.00
_symmetry_space_group_name_H-M 'P 1'
_symmetry_Int_Tables_number 1
loop_
_symmetry_equiv_pos_as_xyz
'x,y,z'
loop_
_atom_site_label
_atom_site_type_symbol
_atom_site_fract_x
_atom_site_fract_y
_atom_site_fract_z
_atom_site_occupancy
Zr1 Zr 0.000 0.000 0.000 1
Ta1 Ta 0.500 0.500 0.500 1
Cu1 Cu 0.750 0.750 0.750 1
Mo1 Mo 0.250 0.250 0.250 1
```


(3)
Material: LiWS2Cl
Method: DFT, PBE-GGA
State: relaxed

Properties
polymorph energy (0 for the lowest one)	0	meV/atom
ΔE_f (raw)	-0.400	eV per atom
DOS at the Fermi energy	4.14	states/eV/cell
space-group type	P4/mmm (123)
final energy	-5.393	eV/atom

Structure (CIF):
```
data_LiWS2Cl
_chemical_formula_sum 'Li1 W1 S2 Cl1'
_cell_length_a 4.664
_cell_length_b 4.664
_cell_length_c 5.034
_cell_angle_alpha 90.00
_cell_angle_beta 90.00
_cell_angle_gamma 90.00
_symmetry_space_group_name_H-M 'P 1'
_symmetry_Int_Tables_number 1
loop_
_symmetry_equiv_pos_as_xyz
'x,y,z'
loop_
_atom_site_label
_atom_site_type_symbol
_atom_site_fract_x
_atom_site_fract_y
_atom_site_fract_z
_atom_site_occupancy
Li1 Li 0.000 0.000 0.000 1
W1 W 0.500 0.500 0.500 1
S1 S 0.000 0.500 0.500 1
S2 S 0.500 0.000 0.500 1
Cl1 Cl 0.500 0.500 0.000 1
```


(4)
Material: CdIn2P
Method: DFT, PBE-GGA
State: relaxed

Properties
DFT formation energy	0.73	eV per formula unit
polymorph energy (0 for the lowest one)	164	meV/atom
DOS at the Fermi energy	1.57	states/eV/cell
space-group type	Cmm2 (35)
final energy	-2.769	eV/atom

Structure (CIF):
```
data_CdIn2P
_chemical_formula_sum 'Cd1 In2 P1'
_cell_length_a 3.460
_cell_length_b 3.460
_cell_length_c 8.034
_cell_angle_alpha 90.00
_cell_angle_beta 90.00
_cell_angle_gamma 99.35
_symmetry_space_group_name_H-M 'P 1'
_symmetry_Int_Tables_number 1
loop_
_symmetry_equiv_pos_as_xyz
'x,y,z'
loop_
_atom_site_label
_atom_site_type_symbol
_atom_site_fract_x
_atom_site_fract_y
_atom_site_fract_z
_atom_site_occupancy
Cd1 Cd 0.000 0.000 0.000 1
In1 In 0.000 0.000 0.585 1
In2 In 0.500 0.500 0.277 1
P1 P 0.500 0.500 0.794 1
```


(5)
Material: Li2SiAs
Method: DFT, PBE-GGA
State: relaxed

Properties
polymorph energy (0 for the lowest one)	0	meV/atom
ΔE_f (raw)	-0.296	eV per atom
DOS at the Fermi energy	0.99	states/eV/cell
space-group type	P4/mmm (123)
final energy	-3.771	eV/atom

Structure (CIF):
```
data_Li2SiAs
_chemical_formula_sum 'Li2 Si1 As1'
_cell_length_a 2.728
_cell_length_b 2.728
_cell_length_c 8.142
_cell_angle_alpha 90.00
_cell_angle_beta 90.00
_cell_angle_gamma 90.00
_symmetry_space_group_name_H-M 'P 1'
_symmetry_Int_Tables_number 1
loop_
_symmetry_equiv_pos_as_xyz
'x,y,z'
loop_
_atom_site_label
_atom_site_type_symbol
_atom_site_fract_x
_atom_site_fract_y
_atom_site_fract_z
_atom_site_occupancy
Li1 Li 0.000 0.000 0.250 1
Li2 Li 0.000 0.000 0.750 1
Si1 Si 0.500 0.500 0.000 1
As1 As 0.500 0.500 0.500 1
```


(6)
Material: PmFeGe3
Method: DFT, PBE-GGA
State: relaxed

Properties
DFT formation energy	-2.47	eV per formula unit
DOS at the Fermi energy	2.18	states/eV/cell
space-group type	I4mm (107)
final energy	-5.907	eV/atom

Structure (CIF):
```
data_PmFeGe3
_chemical_formula_sum 'Pm1 Fe1 Ge3'
_cell_length_a 5.835
_cell_length_b 5.835
_cell_length_c 5.835
_cell_angle_alpha 136.72
_cell_angle_beta 136.72
_cell_angle_gamma 62.87
_symmetry_space_group_name_H-M 'P 1'
_symmetry_Int_Tables_number 1
loop_
_symmetry_equiv_pos_as_xyz
'x,y,z'
loop_
_atom_site_label
_atom_site_type_symbol
_atom_site_fract_x
_atom_site_fract_y
_atom_site_fract_z
_atom_site_occupancy
Pm1 Pm 0.000 0.000 0.000 1
Fe1 Fe 0.667 0.667 0.000 1
Ge1 Ge 0.257 0.757 0.500 1
Ge2 Ge 0.440 0.440 0.000 1
Ge3 Ge 0.757 0.257 0.500 1
```